Below is BaTaHg2 after structural relaxation, with properties calculated at the PBE level.

Structure (CIF):
```
data_BaTaHg2
_symmetry_space_group_name_H-M 'P 1 2/m 1'
_symmetry_Int_Tables_number 10
_cell_length_a 3.198
_cell_length_b 4.143
_cell_length_c 7.775
_cell_angle_alpha 90.00
_cell_angle_beta 90.07
_cell_angle_gamma 90.00
loop_
_symmetry_equiv_pos_as_xyz
'x,y,z'
'-x,-y,-z'
'-x,y,-z'
'x,-y,z'
loop_
_atom_site_label
_atom_site_fract_x
_atom_site_fract_y
_atom_site_fract_z
_atom_site_occupancy
Ba1 0.000 0.000 0.000 1
Ta1 0.000 0.000 0.500 1
Hg1 0.499 0.500 0.692 1
```

Computed properties:
Energy (eV per formula unit): -13.21
Energy of formation (kJ/mol of atoms): 28.29

Below is PrNiAgSn after structural relaxation, with properties calculated at the PBE level.

Structure (CIF):
```
data_PrNiAgSn
_symmetry_space_group_name_H-M 'F -4 3 m'
_symmetry_Int_Tables_number 216
_symmetry_space_group_name_Hall 'F -4 2 3'
_cell_length_a 6.938
_cell_length_b 6.938
_cell_length_c 6.938
_cell_angle_alpha 90.00
_cell_angle_beta 90.00
_cell_angle_gamma 90.00
loop_
_atom_site_label
_atom_site_fract_x
_atom_site_fract_y
_atom_site_fract_z
_atom_site_occupancy
Pr1 0.000 0.000 0.000 1
Ni1 0.250 0.250 0.250 1
Ag1 0.250 0.250 0.750 1
Sn1 0.000 0.000 0.500 1
```

Computed properties:
Energy (eV per formula unit): -18.70
Energy of formation (kJ/mol of atoms): -31.01

Below is CoMoOs2 after structural relaxation, with properties calculated at the PBE level.

Structure (CIF):
```
data_CoMoOs2
_symmetry_space_group_name_H-M 'F m -3 m'
_symmetry_Int_Tables_number 225
_symmetry_space_group_name_Hall '-F 4 2 3'
_cell_length_a 6.099
_cell_length_b 6.099
_cell_length_c 6.099
_cell_angle_alpha 90.00
_cell_angle_beta 90.00
_cell_angle_gamma 90.00
loop_
_atom_site_label
_atom_site_fract_x
_atom_site_fract_y
_atom_site_fract_z
_atom_site_occupancy
Co1 0.000 0.000 0.000 1
Mo1 0.000 0.000 0.500 1
Os1 0.250 0.250 0.250 1
```

Computed properties:
Energy (eV per formula unit): -39.12
Energy of formation (kJ/mol of atoms): 30.67
Offset from the most stable computed form (meV/atom): 288

Which value of energy does entry 1 give? -13.21 eV per formula unit

The lowest energy belongs to which entry? CoMoOs2